Entry from Alexandria via LeMat-Bulk: a geometry-optimized CaTb2MnN4 structure (PBE-GGA).

```
16
Lattice="-0.0510 -3.0717 1.5360 5.3391 0.3865 -2.8900 4.8472 4.7123 9.5849" Properties=species:S:1:pos:R:3 pbc="T T T"
Ca 4.7738 3.2880 6.7340
Ca 5.3614 -1.2609 1.4968
Tb 6.5603 1.7066 3.6309
Tb 1.5641 -1.6344 0.6237
Tb 3.5749 0.3204 4.5999
Tb 8.5711 3.6615 7.6071
Mn 7.1049 1.2424 6.5609
Mn 3.0303 0.7847 1.6700
N 3.4009 -0.0092 0.0946
N 5.5332 0.8686 5.7612
N 6.7343 2.0363 8.1362
N 4.6020 1.1585 2.4697
N 2.4236 2.3562 4.7924
N 0.0000 0.0000 0.0000
N 7.9273 2.6059 5.4746
N 2.2079 -0.5788 2.7562
```

## Properties
The calculation puts the formation energy (no corrections) at -829.3 kJ/mol of formula units. The space-group type is Cmcm (63). The density of states at the Fermi level is 0.215 states/eV/atom. The value obtained for the electronic total energy is -7.791 eV/atom.